[1]
K2CdCu (GGA-PBE, optimized geometry); uncorrected energy = -0.0541 Ha/atom; energy of formation from the pure elements = 0.3292 eV/atom; symmetry = I-42d; theoretical density = 2.82 g cm⁻³
1.0
9.430 0.000 0.000
0.000 9.430 0.000
4.715 4.715 3.361
K Cu Cd
4 2 2
Direct
0.583 0.125 0.250 K
0.167 0.625 0.250 K
0.375 0.417 0.750 K
0.875 0.833 0.750 K
0.500 0.500 0.000 Cu
0.250 0.750 0.500 Cu
0.000 0.000 0.000 Cd
0.750 0.250 0.500 Cd



[2]
Cu3WAu (GGA-PBE, optimized geometry); uncorrected energy = -0.1495 Ha/atom; energy of formation from the pure elements = 1.6356 eV/atom; symmetry = Pm-3m; theoretical density = 9.28 g cm⁻³; energy above the most stable polymorph in this dataset = 0 meV/atom
1.0
-2.024 3.127 2.827
-4.027 -0.506 -2.323
-1.247 -3.440 2.912
Au Cu W
1 3 1
Direct
0.500 0.500 0.500 Au
0.000 0.500 0.000 Cu
0.000 0.000 0.500 Cu
0.500 0.000 0.000 Cu
0.000 0.000 0.000 W



[3]
Tb2CeAg6 (GGA-PBE, optimized geometry); uncorrected energy = -0.1399 Ha/atom; energy of formation from the pure elements = -0.2166 eV/atom; symmetry = P6/mmm; theoretical density = 9.13 g cm⁻³
1.0
-2.826 -1.323 1.011
-2.779 -0.129 -7.939
4.197 -6.601 3.095
Tb Ce Ag
2 1 6
Direct
0.000 0.333 0.667 Tb
0.000 0.667 0.333 Tb
0.000 0.000 0.000 Ce
0.500 0.335 0.335 Ag
0.500 0.665 0.665 Ag
0.500 0.000 0.665 Ag
0.500 0.665 0.000 Ag
0.500 0.335 0.000 Ag
0.500 0.000 0.335 Ag



[4]
MnSbAu3 (GGA-PBE, optimized geometry); uncorrected energy = -0.1468 Ha/atom; symmetry = Pm-3m; theoretical density = 10.73 g cm⁻³; energy above the most stable polymorph in this dataset = 0 meV/atom; formation energy without anion corrections = 629 meV per atom
1.0
-2.640 4.008 -1.067
-2.001 -0.123 4.489
3.633 2.845 1.697
Sb Mn Au
1 1 3
Direct
0.500 0.500 0.500 Sb
0.000 0.000 0.000 Mn
0.000 0.500 0.000 Au
0.000 0.000 0.500 Au
0.500 0.000 0.000 Au